Ho3InTe4 | PBE | relaxed

Cell: 12.494 6.222 6.220 Å, 90.00 90.00 90.00°
Space group Pmn2_1 (No. 31)
Inequivalent atoms, fractional coordinates:
Ho1 0.000 0.250 0.000 x2
Ho2 0.250 0.250 0.499 x4
In1 0.000 0.749 0.500 x2
Te1 0.000 0.249 0.500 x2
Te2 0.000 0.750 0.000 x2
Te3 0.249 0.250 0.999 x4

The calculation puts the energy at -4.683 eV per atom. Its crystal system is orthorhombic.